# 1
Entry from the Alexandria database: AcAl2Cu4 after structural relaxation (PBE). Values from VASP.

E_form ... -1.94 eV per formula unit
V ... 120.1 Å³/f.u.
Uncorrected energy ... -59.846 eV per cell

Quantum ESPRESSO input file:
```
&SYSTEM
  ibrav = 0, nat = 14, ntyp = 3
/
ATOMIC_SPECIES
Ac 227.00 Ac.upf
Al 26.98 Al.upf
Cu 63.55 Cu.upf
ATOMIC_POSITIONS angstrom
Ac -0.790 1.338 1.136
Ac -2.369 4.014 3.408
Al 4.759 0.895 2.254
Al -1.528 4.620 0.017
Al 1.135 3.571 3.105
Al 2.095 1.944 -0.833
Cu 2.385 4.471 -1.530
Cu -0.258 2.911 -1.530
Cu 2.279 1.633 1.739
Cu 3.200 0.073 4.217
Cu 0.031 5.442 -1.945
Cu 0.951 3.882 0.532
Cu 3.488 2.603 3.802
Cu 0.845 1.043 3.802
CELL_PARAMETERS angstrom
6.389 0.163 -2.272
-3.255 5.515 -2.237
0.096 -0.163 6.780
```


# 2
Entry from the Alexandria database: Ac2AlCu3 after structural relaxation (PBE). Values from VASP.

E_form ... -1.30 eV per formula unit
E above lowest polymorph ... 0.000 eV/atom
V ... 144.4 Å³/f.u.
Uncorrected energy ... -25.546 eV per cell

Quantum ESPRESSO input file:
```
&SYSTEM
  ibrav = 0, nat = 6, ntyp = 3
/
ATOMIC_SPECIES
Ac 227.00 Ac.upf
Al 26.98 Al.upf
Cu 63.55 Cu.upf
ATOMIC_POSITIONS angstrom
Ac 0.276 1.069 1.679
Ac -1.368 3.288 4.950
Al 0.868 2.000 7.129
Cu -1.823 0.160 4.025
Cu -2.174 -1.200 1.889
Cu 0.512 0.619 4.960
CELL_PARAMETERS angstrom
-4.300 0.514 0.379
-0.225 -3.596 2.327
3.326 5.660 5.117
```